Computed, not measured: a relaxed Er2Al3Ga2 crystal at the PBE level of DFT.

Energy of formation, eV per atom: -0.472
DFT total energy, eV per atom: -4.244

Cell: 4.1513 5.5772 6.5656 Å, 99.25 90.00 111.85°
Fractional coordinates of all 7 atoms:
Er: 0.6183 0.2365 0.3251
Er: 0.3817 0.7635 0.6749
Al: 0.3022 0.6044 0.1345
Al: 0.0000 0.0000 0.0000
Al: 0.6978 0.3956 0.8655
Ga: 0.0958 0.1915 0.6464
Ga: 0.9042 0.8085 0.3536

=====

Computed, not measured: a relaxed Ba3CaPd2O6 crystal at the PBE level of DFT.

Formation energy from raw total energies, meV/atom: -1617
DFT total energy, eV per atom: -5.609

Cell: 6.2745 6.2745 6.8860 Å, 90.00 90.00 120.00°
Each line ends with the local moment (μB).
Fractional coordinates of all 12 atoms:
Ba: 0.3333 0.6667 0.6358  -0.01
Ba: 0.6667 0.3333 0.3642  -0.01
Ba: 0.0000 0.0000 0.0000  0.00
Ca: 0.0000 0.0000 0.5000  0.06
Pd: 0.6667 0.3333 0.8333  0.91
Pd: 0.3333 0.6667 0.1667  0.91
O: 0.6669 0.8334 0.2985  0.25
O: 0.1666 0.3331 0.2985  0.25
O: 0.1666 0.8334 0.2985  0.25
O: 0.8334 0.6669 0.7015  0.25
O: 0.3331 0.1666 0.7015  0.25
O: 0.8334 0.1666 0.7015  0.25

=====

Computed calculated volume (Å³/f.u.) in order:
139.0, 234.8
Computed total magnetization (μB per formula unit) in order:
0.0, 3.9